KSr2La2, relaxed, DFT PBE; total energy = -2.541 eV/atom; energy above the most stable polymorph in this dataset = 9.5 meV per atom; formation energy from the elements = 0.3223 eV/atom; total moment = 0.17 μB/atom; space group = P4/mbm (127)
1.0
11.369 0.000 0.000
0.000 11.369 0.000
0.000 0.000 3.960
K Sr La
2 4 4
Cartesian
0.000 0.000 0.000
5.684 5.684 0.000
2.092 3.593 0.000
3.593 9.277 0.000
7.776 2.092 0.000
9.277 7.776 0.000
1.125 6.810 1.980
4.559 1.125 1.980
6.810 10.243 1.980
10.243 4.559 1.980

***

BeTlSb2Pb, relaxed, DFT PBE; total energy = -3.278 eV/atom; formation energy without anion corrections = 0.331 eV/atom; total moment = 0.00 μB/atom; space group = P4/mmm (123)
1.0
5.058 0.000 0.000
0.000 5.058 0.000
0.000 0.000 5.309
Be Tl Sb Pb
1 1 2 1
Cartesian
0.000 0.000 0.000
2.529 2.529 2.655
0.000 2.529 0.000
2.529 0.000 0.000
0.000 0.000 2.655

***

Co2HgPt2, relaxed, DFT PBE; total energy = -5.059 eV/atom; energy above the most stable polymorph in this dataset = 133.5 meV per atom; formation energy from the elements = 0.2602 eV/atom; total moment = 0.87 μB/atom; space group = I4/mmm (139)
1.0
-1.908 1.908 5.579
1.908 -1.908 5.579
1.908 1.908 -5.579
Co Hg Pt
2 1 2
Cartesian
0.000 0.000 1.102
0.000 0.000 10.056
0.000 0.000 5.579
1.908 0.000 2.789
0.000 1.908 2.789

***

Cd2Ga2SnPd5, relaxed, DFT PBE; total energy = -4.222 eV/atom; formation energy from the elements = -0.4371 eV/atom; total moment = 0.00 μB/atom; space group = P4/mbm (127)
1.0
9.878 0.000 0.000
0.000 9.878 0.000
0.000 0.000 3.586
Cd Ga Sn Pd
4 4 2 10
Cartesian
1.644 3.295 0.000
3.295 8.234 0.000
6.583 1.644 0.000
8.234 6.583 0.000
1.277 6.216 0.000
3.662 1.277 0.000
6.216 8.602 0.000
8.602 3.662 0.000
0.000 0.000 0.000
4.939 4.939 0.000
0.000 4.939 1.793
0.950 7.997 1.793
1.881 0.950 1.793
3.058 5.889 1.793
3.989 3.058 1.793
4.939 0.000 1.793
5.889 6.820 1.793
6.820 3.989 1.793
7.997 8.929 1.793
8.929 1.881 1.793

***

ZnNi4W, relaxed, DFT PBE; total energy = -5.827 eV/atom; energy above the most stable polymorph in this dataset = 355.3 meV per atom; formation energy from the elements = 0.3985 eV/atom; total moment = 0.00 μB/atom; space group = I4_1/a (88)
1.0
-3.129 3.129 4.238
3.129 -3.129 4.238
3.129 3.129 -4.238
Zn Ni W
2 8 2
Cartesian
0.000 1.564 1.059
3.129 1.564 3.178
5.396 -0.660 1.035
2.224 0.703 1.084
2.267 -0.660 3.203
2.224 3.832 -1.084
0.904 -0.703 5.322
0.861 3.789 1.035
0.904 2.426 3.154
-2.267 3.789 3.203
3.129 1.564 -1.059
0.000 1.564 5.297

***

Y2OsCl, relaxed, DFT PBE; total energy = -7.065 eV/atom; formation energy without anion corrections = -0.563 eV/atom; energy above the most stable polymorph in this dataset = 316.7 meV per atom; total moment = 0.00 μB/atom; space group = Amm2 (38)
1.0
4.765 0.000 0.000
0.000 1.702 5.405
0.000 -1.702 5.405
Y Os Cl
2 1 1
Cartesian
0.000 0.000 0.000
2.382 0.000 2.832
0.000 0.000 8.002
2.382 0.000 5.578

***

La4Y4Ho3, relaxed, DFT PBE; total energy = -5.267 eV/atom; energy above the most stable polymorph in this dataset = 59.0 meV per atom; formation energy from the elements = 0.1235 eV/atom; total moment = 0.00 μB/atom; space group = Immm (71)
1.0
-1.811 4.731 11.163
1.811 -4.731 11.163
1.811 4.731 -11.163
La Y Ho
4 4 3
Cartesian
1.811 -3.134 7.964
0.000 1.597 3.199
1.811 3.134 7.964
0.000 7.865 3.199
1.811 0.000 5.902
0.000 2.993 0.000
0.000 6.468 0.000
0.000 4.731 5.261
1.811 0.000 0.000
0.000 0.000 8.813
0.000 0.000 13.513

***

RbPu2P2N6, relaxed, DFT PBE; total energy = -8.829 eV/atom; formation energy without anion corrections = -0.611 eV/atom; total moment = 0.82 μB/atom; space group = C2/m (12)
1.0
5.753 -3.147 0.000
5.753 3.147 0.000
-3.252 0.000 5.404
Rb Pu P N
1 2 2 6
Cartesian
0.000 0.000 0.000
1.467 0.000 3.755
6.787 0.000 1.649
3.141 0.000 1.348
5.113 0.000 4.056
2.346 1.313 1.781
4.591 0.000 0.724
5.907 1.313 3.623
2.346 -1.313 1.781
3.662 0.000 4.680
5.907 -1.313 3.623

***

BaGa2AsS6, relaxed, DFT PBE; total energy = -4.388 eV/atom; formation energy without anion corrections = -0.649 eV/atom; total moment = 0.09 μB/atom; space group = C2/c (15)
1.0
7.094 -5.482 0.000
7.094 5.482 0.000
-3.808 0.000 6.945
Ba Ga As S
2 4 2 12
Cartesian
4.238 3.202 5.209
6.142 -3.202 1.736
0.735 0.814 5.989
2.640 -0.814 2.517
7.740 0.814 4.428
9.644 -0.814 0.956
6.142 3.252 1.736
4.238 -3.252 5.209
-1.155 0.838 4.590
1.421 2.958 6.442
0.749 -0.838 1.117
2.434 0.603 4.299
7.054 2.958 3.975
4.338 -0.603 0.826
6.041 0.603 6.119
3.325 -2.958 2.970
7.945 -0.603 2.647
9.630 0.838 5.828
8.958 -2.958 0.503
11.534 -0.838 2.355

***

MgAg6Pd8, relaxed, DFT PBE; total energy = -4.004 eV/atom; formation energy from the elements = 0.0127 eV/atom; total moment = 0.00 μB/atom; space group = P6/mmm (191)
1.0
8.113 0.000 0.000
-4.056 7.026 0.000
0.000 0.000 4.691
Mg Ag Pd
1 6 8
Cartesian
0.000 0.000 0.000
0.000 2.995 0.000
-1.462 5.528 0.000
2.594 1.498 0.000
1.462 5.528 0.000
5.519 1.498 0.000
4.056 4.030 0.000
-1.331 2.306 2.345
-2.725 4.720 2.345
2.662 0.000 2.345
1.331 2.306 2.345
0.000 4.684 2.345
4.056 2.342 2.345
5.450 0.000 2.345
2.725 4.720 2.345

***

Li2GeTe, relaxed, DFT PBE; total energy = -3.221 eV/atom; formation energy without anion corrections = -0.324 eV/atom; energy above the most stable polymorph in this dataset = 91.0 meV per atom; total moment = 0.00 μB/atom; space group = Fm-3m (225)
1.0
0.000 3.408 3.408
3.408 0.000 3.408
3.408 3.408 0.000
Li Ge Te
2 1 1
Cartesian
1.704 1.704 1.704
5.113 5.113 5.113
0.000 0.000 0.000
3.408 3.408 3.408

***

Na4Ac3PmTe8, relaxed, DFT PBE; total energy = -4.342 eV/atom; formation energy without anion corrections = -1.374 eV/atom; total moment = 0.00 μB/atom; space group = R-3m (166)
1.0
4.720 2.725 7.558
-4.720 2.725 7.558
0.000 -5.450 7.558
Na Ac Pm Te
4 3 1 8
Cartesian
0.000 0.000 0.000
-2.360 -1.362 7.558
-2.360 1.362 15.115
0.000 2.725 7.558
-4.720 0.000 11.337
-2.360 1.362 3.779
2.360 1.362 3.779
0.000 0.000 11.337
0.000 0.000 5.679
0.000 -2.631 9.493
-2.278 1.315 9.493
-2.278 -1.315 13.180
2.278 1.315 9.493
2.278 -1.315 13.180
0.000 2.631 13.180
0.000 0.000 16.995